# 1
Computed, not measured: a relaxed MnSiRh2 crystal at the PBE-GGA level of DFT.

Results
Energy: -0.289 hartree per atom

Structure (POSCAR):
```
MnSiRh2
1.0
2.8931 0.0000 0.0000
0.0000 2.8974 0.0098
0.0000 2.8689 6.5301
Si Mn Rh
1 1 2
Direct
0.5000 0.2500 0.2500 Si
0.5000 0.7500 0.7500 Mn
0.0000 0.9702 0.0303 Rh
0.0000 0.5298 0.4697 Rh
```

# 2
Computed, not measured: a relaxed PuTh2NbN4 crystal at the PBE-GGA level of DFT.

Results
Energy: -0.372 hartree per atom

Structure (POSCAR):
```
PuTh2NbN4
1.0
3.4709 0.0000 0.0000
-1.7354 6.0996 0.0000
0.0000 0.0000 12.4919
Pu Th Nb N
2 4 2 8
Direct
0.0952 0.1903 0.7500 Pu
0.9048 0.8097 0.2500 Pu
0.3689 0.7377 0.5433 Th
0.6311 0.2623 0.0433 Th
0.6311 0.2623 0.4567 Th
0.3689 0.7377 0.9567 Th
0.8321 0.6643 0.7500 Nb
0.1679 0.3357 0.2500 Nb
0.2739 0.5478 0.1261 N
0.7261 0.4522 0.6261 N
0.7261 0.4522 0.8739 N
0.2739 0.5478 0.3739 N
0.0000 0.0000 0.5000 N
0.0000 0.0000 0.0000 N
0.4491 0.8981 0.7500 N
0.5509 0.1019 0.2500 N
```

# 3
Computed, not measured: a relaxed Hg3MoPd12 crystal at the PBE-GGA level of DFT.

Results
DFT formation energy: -0.11 eV per atom

Structure (POSCAR):
```
Hg3MoPd12
1.0
3.9905 0.0000 0.0000
0.0000 3.9905 0.0000
0.0000 0.0000 16.3916
Hg Mo Pd
3 1 12
Direct
0.0000 0.0000 0.2469 Hg
0.0000 0.0000 0.5000 Hg
0.0000 0.0000 0.7531 Hg
0.0000 0.0000 0.0000 Mo
0.5000 0.5000 0.0000 Pd
0.5000 0.5000 0.2425 Pd
0.5000 0.5000 0.5000 Pd
0.5000 0.5000 0.7575 Pd
0.5000 0.0000 0.1143 Pd
0.5000 0.0000 0.3726 Pd
0.5000 0.0000 0.6274 Pd
0.5000 0.0000 0.8857 Pd
0.0000 0.5000 0.1143 Pd
0.0000 0.5000 0.3726 Pd
0.0000 0.5000 0.6274 Pd
0.0000 0.5000 0.8857 Pd
```

# 4
Computed, not measured: a relaxed La2IrRh2 crystal at the PBE-GGA level of DFT.

Results
DFT formation energy: -0.54 eV per atom

Structure (POSCAR):
```
La2IrRh2
1.0
7.2259 0.0000 0.0000
0.0000 7.2259 0.0000
0.0000 0.0000 4.1303
Ir Rh La
2 4 4
Direct
0.0000 0.0000 0.0000 Ir
0.5000 0.5000 0.0000 Ir
0.3696 0.8696 0.0000 Rh
0.8696 0.6304 0.0000 Rh
0.6304 0.1304 0.0000 Rh
0.1304 0.3696 0.0000 Rh
0.1856 0.6856 0.5000 La
0.6856 0.8144 0.5000 La
0.8144 0.3144 0.5000 La
0.3144 0.1856 0.5000 La
```

Question: Number 1 is which compound?
Answer: MnSiRh2

Question: Which formula does entry 1 have?
Answer: MnSiRh2